[1]
{"formula": "HfTl2CoAs", "functional": "PBE-GGA", "state": "relaxed", "lattice_angstrom": [[5.3844, 0.0000, 0.0000], [0.0000, 5.0293, 0.0000], [0.0000, 0.0000, 5.3844]], "species": ["Co", "Tl", "Tl", "Hf", "As"], "fractional_positions": [[0.5000, 0.5000, 0.5000], [0.0000, 0.0000, 0.5000], [0.5000, 0.0000, 0.0000], [0.0000, 0.5000, 0.0000], [0.0000, 0.0000, 0.0000]], "total_magnetization_mub_per_fu": 1.80}


[2]
{"formula": "Hf2ZnCoAs", "functional": "PBE-GGA", "state": "relaxed", "lattice_angstrom": [[-4.6534, 0.8801, -1.4178], [0.7702, -2.0478, -3.7990], [-1.4250, -4.2816, 2.0191]], "species": ["Co", "As", "Hf", "Hf", "Zn"], "fractional_positions": [[0.5000, 0.5000, 0.5000], [0.0000, 0.0000, 0.0000], [0.0000, 0.0000, 0.5000], [0.5000, 0.0000, 0.0000], [0.0000, 0.5000, 0.0000]], "total_magnetization_mub_per_fu": 0.00}


[3]
{"formula": "HfZrCo2As", "functional": "PBE-GGA", "state": "relaxed", "lattice_angstrom": [[-2.4848, 0.7710, 3.4710], [-1.5824, -4.6821, -0.0928], [3.2732, -1.1578, 2.6004]], "species": ["Co", "Co", "As", "Hf", "Zr"], "fractional_positions": [[0.0000, 0.0000, 0.5000], [0.5000, 0.0000, 0.0000], [0.0000, 0.0000, 0.0000], [0.5000, 0.5000, 0.5000], [0.0000, 0.5000, 0.0000]], "total_magnetization_mub_per_fu": 1.68}


[4]
{"formula": "Co2HgAs", "functional": "PBE-GGA", "state": "relaxed", "lattice_angstrom": [[-0.4257, -1.8050, -2.2802], [2.4028, -1.4471, 0.6969], [-0.4931, -6.8434, 5.5093]], "species": ["As", "Co", "Co", "Hg"], "fractional_positions": [[0.5000, 0.8056, 0.8382], [0.0000, 0.0363, 0.0177], [0.5000, 0.2661, 0.1975], [0.0000, 0.3920, 0.4466]], "total_magnetization_mub_per_fu": 2.86}


[5]
{"formula": "CoHg3As", "functional": "PBE-GGA", "state": "relaxed", "lattice_angstrom": [[5.3292, 0.0000, 0.0000], [0.0000, 5.3292, 0.0000], [0.0000, 0.0000, 5.3292]], "species": ["As", "Co", "Hg", "Hg", "Hg"], "fractional_positions": [[0.0000, 0.0000, 0.0000], [0.5000, 0.5000, 0.5000], [0.0000, 0.5000, 0.0000], [0.0000, 0.0000, 0.5000], [0.5000, 0.0000, 0.0000]], "total_magnetization_mub_per_fu": 2.29}


[6]
{"formula": "CoHgAs3", "functional": "PBE-GGA", "state": "relaxed", "lattice_angstrom": [[-2.4021, -3.8585, 1.0527], [1.5482, 0.2352, 4.3948], [-3.6877, 2.6121, 1.1593]], "species": ["As", "As", "As", "Co", "Hg"], "fractional_positions": [[0.0000, 0.5000, 0.0000], [0.0000, 0.0000, 0.5000], [0.5000, 0.0000, 0.0000], [0.0000, 0.0000, 0.0000], [0.5000, 0.5000, 0.5000]], "total_magnetization_mub_per_fu": 0.00}


We obtain mass density values of 8.2; 8.6; 8.3; 10.0; 8.1; 7.9 g cm⁻³ for the records listed above, in that order.
We obtain E values of -4.1717; -5.8825; -7.1876; -4.6082; -1.6126; -3.8772 eV per atom for the records listed above, in that order.
We obtain DOS(E_F) values of 8.73; 4.09; 4.18; 3.32; 3.19; 4.28 states/eV/f.u. for the records listed above, in that order.